Entry 1:
Compound: SmDy8In2
Source: Alexandria
Functional: PBE
Structure: relaxed

Properties
SG = C2/m, No. 12
calculated total energy = -4.32 eV/atom
D(E_F) = 1.47 states/eV per atom
spin magnetization = 0.00 μB/cell
ΔE_f = -0.04 eV per atom

Lattice parameters (Å, degrees): 6.263 9.889 9.889 39.27 64.39 64.39
Element x y z (fractional)
Dy (0.264, 0.353, 0.848)
Dy (0.264, 0.848, 0.353)
In (0.178, 0.257, 0.257)
Sm (0.000, 0.000, 0.000)
Dy (0.736, 0.647, 0.152)
Dy (0.758, 0.583, 0.583)
In (0.822, 0.743, 0.743)
Dy (0.736, 0.152, 0.647)
Dy (0.720, 0.223, 0.223)
Dy (0.242, 0.417, 0.417)
Dy (0.280, 0.777, 0.777)

=====

Entry 2:
Compound: SmDy5In2
Source: Alexandria
Functional: PBE
Structure: relaxed

Properties
SG = Immm, No. 71
calculated total energy = -4.33 eV/atom
D(E_F) = 1.43 states/eV per atom
spin magnetization = 0.00 μB/cell
ΔE_f = -0.18 eV per atom

Lattice parameters (Å, degrees): 3.584 8.449 8.449 77.08 77.75 77.75
Element x y z (fractional)
Dy (0.635, 0.592, 0.139)
In (0.740, 0.760, 0.760)
Dy (0.365, 0.408, 0.861)
Dy (0.635, 0.139, 0.592)
Sm (0.000, 0.000, 0.000)
In (0.260, 0.240, 0.240)
Dy (0.000, 0.500, 0.500)
Dy (0.365, 0.861, 0.408)

=====

Entry 3:
Compound: Sm5Dy2In
Source: Alexandria
Functional: PBE
Structure: relaxed

Properties
SG = Imm2, No. 44
calculated total energy = -4.51 eV/atom
D(E_F) = 1.30 states/eV per atom
spin magnetization = 0.00 μB/cell
ΔE_f = -0.07 eV per atom

Lattice parameters (Å, degrees): 7.131 7.131 7.067 120.31 120.30 90.00
Element x y z (fractional)
Sm (0.722, 0.222, 0.943)
Sm (0.722, 0.722, 0.445)
Sm (0.723, 0.722, 0.945)
In (0.222, 0.222, 0.444)
Sm (0.223, 0.722, 0.945)
Dy (0.722, 0.223, 0.444)
Dy (0.222, 0.721, 0.444)
Sm (0.222, 0.222, 0.943)

=====

Entry 4:
Compound: Sm8Dy3In2
Source: Alexandria
Functional: PBE
Structure: relaxed

Properties
SG = C2/m, No. 12
calculated total energy = -4.34 eV/atom
D(E_F) = 1.30 states/eV per atom
spin magnetization = 0.00 μB/cell
ΔE_f = 0.04 eV per atom

Lattice parameters (Å, degrees): 6.587 9.339 8.522 123.23 97.67 90.00
Element x y z (fractional)
In (0.684, 0.806, 0.613)
Dy (0.000, 0.832, 0.000)
Sm (0.156, 0.796, 0.591)
Sm (0.879, 0.585, 0.170)
Sm (0.556, 0.196, 0.754)
Sm (0.121, 0.415, 0.830)
Sm (0.556, 0.557, 0.754)
Sm (0.444, 0.443, 0.246)
In (0.316, 0.194, 0.387)
Dy (0.000, 0.168, 0.000)
Sm (0.844, 0.204, 0.409)
Dy (0.500, 0.000, 0.000)
Sm (0.444, 0.804, 0.246)

=====

Entry 5:
Compound: Sm8Dy2In
Source: Alexandria
Functional: PBE
Structure: relaxed

Properties
SG = Immm, No. 71
calculated total energy = -4.51 eV/atom
D(E_F) = 1.60 states/eV per atom
spin magnetization = 0.00 μB/cell
ΔE_f = 0.01 eV per atom

Lattice parameters (Å, degrees): 5.517 7.678 9.881 112.86 106.21 90.00
Element x y z (fractional)
Dy (0.193, 0.693, 0.386)
Sm (0.000, 0.261, 0.000)
Sm (0.821, 0.821, 0.643)
In (0.500, 0.000, 0.000)
Dy (0.807, 0.307, 0.614)
Sm (0.363, 0.136, 0.726)
Sm (0.363, 0.590, 0.726)
Sm (0.637, 0.410, 0.274)
Sm (0.000, 0.739, 0.000)
Sm (0.637, 0.864, 0.274)
Sm (0.179, 0.179, 0.357)

=====

Entry 6:
Compound: Sm3Dy4In2
Source: Alexandria
Functional: PBE
Structure: relaxed

Properties
SG = C2/m, No. 12
calculated total energy = -4.40 eV/atom
D(E_F) = 1.17 states/eV per atom
spin magnetization = 0.00 μB/cell
ΔE_f = -0.17 eV per atom

Lattice parameters (Å, degrees): 4.945 7.688 7.942 107.82 108.14 90.00
Element x y z (fractional)
In (0.339, 0.000, 0.677)
Dy (0.444, 0.673, 0.887)
Sm (0.885, 0.326, 0.771)
Dy (0.779, 0.684, 0.558)
Dy (0.221, 0.316, 0.442)
Sm (0.115, 0.674, 0.229)
Dy (0.556, 0.327, 0.113)
Sm (0.000, 0.000, 0.000)
In (0.661, 0.000, 0.323)

=====

Entry 7:
Compound: SmDy2In9
Source: Alexandria
Functional: PBE
Structure: relaxed

Properties
SG = P4/mmm, No. 123
calculated total energy = -3.64 eV/atom
D(E_F) = 0.36 states/eV per atom
spin magnetization = 0.00 μB/cell
ΔE_f = -0.43 eV per atom

Lattice parameters (Å, degrees): 4.654 4.654 13.948 90.00 90.00 90.00
Element x y z (fractional)
In (0.500, 0.000, 0.500)
In (0.000, 0.500, 0.500)
Dy (0.000, 0.000, 0.666)
In (0.000, 0.500, 0.169)
In (0.500, 0.500, 0.334)
In (0.000, 0.500, 0.831)
In (0.500, 0.000, 0.169)
In (0.500, 0.500, 0.000)
Sm (0.000, 0.000, 0.000)
Dy (0.000, 0.000, 0.334)
In (0.500, 0.000, 0.831)
In (0.500, 0.500, 0.666)

=====

Entry 8:
Compound: Sm7Dy4In
Source: Alexandria
Functional: PBE
Structure: relaxed

Properties
SG = C2/m, No. 12
calculated total energy = -4.38 eV/atom
D(E_F) = 1.55 states/eV per atom
spin magnetization = 0.00 μB/cell
ΔE_f = 0.14 eV per atom

Lattice parameters (Å, degrees): 5.956 9.677 8.732 60.21 70.06 72.08
Element x y z (fractional)
Dy (0.422, 0.693, 0.463)
Sm (0.500, 0.000, 0.000)
In (0.000, 0.000, 0.000)
Sm (0.203, 0.787, 0.808)
Sm (0.213, 0.131, 0.443)
Dy (0.578, 0.307, 0.537)
Dy (0.680, 0.600, 0.040)
Dy (0.320, 0.400, 0.960)
Sm (0.926, 0.415, 0.733)
Sm (0.074, 0.585, 0.267)
Sm (0.787, 0.869, 0.557)
Sm (0.797, 0.213, 0.192)

=====

Entry 9:
Compound: Sm5Dy5In2
Source: Alexandria
Functional: PBE
Structure: relaxed

Properties
SG = C2/m, No. 12
calculated total energy = -4.47 eV/atom
D(E_F) = 1.12 states/eV per atom
spin magnetization = 0.00 μB/cell
ΔE_f = -0.13 eV per atom

Lattice parameters (Å, degrees): 5.458 6.743 11.137 89.86 90.00 113.87
Element x y z (fractional)
Sm (0.680, 0.360, 0.033)
Dy (0.819, 0.638, 0.748)
Sm (0.320, 0.640, 0.967)
Dy (0.680, 0.361, 0.466)
In (0.850, 0.700, 0.250)
Sm (0.482, 0.964, 0.251)
Sm (0.518, 0.036, 0.749)
Dy (0.320, 0.639, 0.534)
Dy (0.000, 0.000, 0.000)
Sm (0.000, 0.000, 0.500)
Dy (0.181, 0.362, 0.252)
In (0.150, 0.300, 0.750)

=====

Entry 10:
Compound: SmDy6In4
Source: Alexandria
Functional: PBE
Structure: relaxed

Properties
SG = P-6m2, No. 187
calculated total energy = -4.23 eV/atom
D(E_F) = 0.90 states/eV per atom
spin magnetization = 2.26 μB/cell
ΔE_f = -0.29 eV per atom

Lattice parameters (Å, degrees): 3.705 10.114 10.114 120.00 90.00 90.00
Element x y z (fractional)
In (0.000, 0.333, 0.667)
Dy (0.500, 0.191, 0.809)
Sm (0.000, 0.000, 0.000)
Dy (0.000, 0.538, 0.462)
In (0.500, 0.324, 0.162)
In (0.500, 0.838, 0.676)
Dy (0.000, 0.924, 0.462)
Dy (0.500, 0.619, 0.809)
Dy (0.000, 0.538, 0.076)
In (0.500, 0.838, 0.162)
Dy (0.500, 0.191, 0.381)

=====

Entry 11:
Compound: Sm2Dy2In5
Source: Alexandria
Functional: PBE
Structure: relaxed

Properties
SG = Ima2, No. 46
calculated total energy = -3.87 eV/atom
D(E_F) = 0.79 states/eV per atom
spin magnetization = 0.00 μB/cell
ΔE_f = -0.28 eV per atom

Lattice parameters (Å, degrees): 7.176 10.086 9.457 122.23 112.30 90.00
Element x y z (fractional)
Sm (0.901, 0.437, 0.746)
Dy (0.000, 0.999, 0.000)
Dy (0.255, 0.379, 0.500)
In (0.734, 0.823, 0.092)
In (0.363, 0.990, 0.302)
Sm (0.099, 0.691, 0.254)
In (0.637, 0.688, 0.698)
In (0.439, 0.490, 0.302)
In (0.062, 0.099, 0.500)
Dy (0.500, 0.499, 0.000)
Dy (0.745, 0.879, 0.500)
Sm (0.655, 0.191, 0.254)
In (0.561, 0.188, 0.698)
In (0.142, 0.231, 0.908)
In (0.938, 0.599, 0.500)
In (0.266, 0.731, 0.908)
In (0.858, 0.323, 0.092)
Sm (0.345, 0.937, 0.746)

=====

Entry 12:
Compound: SmDyIn
Source: Alexandria
Functional: PBE
Structure: relaxed

Properties
SG = P4/nmm, No. 129
calculated total energy = -4.30 eV/atom
D(E_F) = 1.10 states/eV per atom
spin magnetization = 1.67 μB/cell
ΔE_f = -0.28 eV per atom

Lattice parameters (Å, degrees): 4.690 4.690 8.364 90.00 90.00 90.03
Element x y z (fractional)
In (0.250, 0.750, 0.266)
Sm (0.250, 0.750, 0.648)
In (0.750, 0.250, 0.734)
Dy (0.750, 0.750, 0.000)
Sm (0.750, 0.250, 0.352)
Dy (0.250, 0.250, 0.000)